DFT (GGA-PBE) results for an optimized crystal structure of La2PmHg2Pb2.

Properties
Its formation energy is -0.307 eV per atom. The mass density comes out at 9.7 g/cm3. For the density of states at the Fermi level, the calculation gives 0.666 states/eV/atom. The value obtained for the total magnetization is 0.0 μB per cell. The volume is 213 Å³/f.u. As for the total energy: -74.32 eV for the cell shown.

a = 5.1232 Å, b = 5.1232 Å, c = 28.0608 Å
α = 90.00°, β = 90.00°, γ = 120.00°
Closest atoms and distances in Å follow each position.
Space group R-3m (No. 166, hexagonal axes)
Inequivalent atoms, fractional coordinates:
La 0.0000 0.0000 0.1321 [6 per cell]  3 Hg 3.13
Pm 0.0000 0.0000 0.0000 [3 per cell]  6 Pb 3.38, 2 La 3.71
Hg 0.0000 0.0000 0.4292 [6 per cell]  3 La 3.13, 3 Pb 3.14
Pb 0.0000 0.0000 0.2752 [6 per cell]  3 Hg 3.14, 3 Pm 3.38